[1]
# AlCdN2, PBEsol geometry, DFT SCAN
# Uncorrected formation energy   0.597 eV/atom
data_AlCdN2
_chemical_formula_sum 'Al1 Cd1 N2'
_symmetry_space_group_name_H-M 'P 1'
_symmetry_Int_Tables_number 1
_symmetry_space_group_name_Hall 'P 1'
_cell_length_a 6.177
_cell_length_b 6.177
_cell_length_c 6.177
_cell_angle_alpha 32.11
_cell_angle_beta 32.11
_cell_angle_gamma 32.11
loop_
_atom_site_label
_atom_site_type_symbol
_atom_site_fract_x
_atom_site_fract_y
_atom_site_fract_z
Al1 Al 0.000 0.000 0.000
Cd1 Cd 0.500 0.500 0.500
N1 N 0.100 0.100 0.100
N2 N 0.900 0.900 0.900


[2]
# KTa2Cu, PBEsol geometry, DFT SCAN
# ΔE_f   0.80 eV/atom
data_KTa2Cu
_chemical_formula_sum 'K1 Ta2 Cu1'
_symmetry_space_group_name_H-M 'P 1'
_symmetry_Int_Tables_number 1
_symmetry_space_group_name_Hall 'P 1'
_cell_length_a 2.779
_cell_length_b 2.779
_cell_length_c 10.305
_cell_angle_alpha 90.00
_cell_angle_beta 90.00
_cell_angle_gamma 90.00
loop_
_atom_site_label
_atom_site_type_symbol
_atom_site_fract_x
_atom_site_fract_y
_atom_site_fract_z
K1 K 0.000 0.000 0.000
Ta1 Ta 0.500 0.500 0.320
Ta2 Ta 0.500 0.500 0.680
Cu1 Cu 0.000 0.000 0.500


[3]
# NdReO3, PBEsol geometry, DFT SCAN
# Uncorrected formation energy   -1.991 eV/atom
data_NdReO3
_chemical_formula_sum 'Nd1 Re1 O3'
_symmetry_space_group_name_H-M 'P 1'
_symmetry_Int_Tables_number 1
_symmetry_space_group_name_Hall 'P 1'
_cell_length_a 3.949
_cell_length_b 3.949
_cell_length_c 3.949
_cell_angle_alpha 90.00
_cell_angle_beta 90.00
_cell_angle_gamma 90.00
loop_
_atom_site_label
_atom_site_type_symbol
_atom_site_fract_x
_atom_site_fract_y
_atom_site_fract_z
Nd1 Nd 0.000 0.000 0.000
Re1 Re 0.500 0.500 0.500
O1 O 0.000 0.500 0.500
O2 O 0.500 0.000 0.500
O3 O 0.500 0.500 0.000


[4]
# Ba2ThCu2Se5, PBEsol geometry, DFT SCAN
# Uncorrected formation energy   -1.598 eV/atom
data_Ba2ThCu2Se5
_chemical_formula_sum 'Ba2 Th1 Cu2 Se5'
_symmetry_space_group_name_H-M 'P 1'
_symmetry_Int_Tables_number 1
_symmetry_space_group_name_Hall 'P 1'
_cell_length_a 7.311
_cell_length_b 7.311
_cell_length_c 9.649
_cell_angle_alpha 114.38
_cell_angle_beta 114.38
_cell_angle_gamma 33.56
loop_
_atom_site_label
_atom_site_type_symbol
_atom_site_fract_x
_atom_site_fract_y
_atom_site_fract_z
Ba1 Ba 0.176 0.176 0.194
Ba2 Ba 0.824 0.824 0.806
Th1 Th 0.000 0.000 0.500
Cu1 Cu 0.449 0.449 0.211
Cu2 Cu 0.551 0.551 0.789
Se1 Se 0.149 0.149 0.818
Se2 Se 0.380 0.380 0.564
Se3 Se 0.500 0.500 0.000
Se4 Se 0.620 0.620 0.436
Se5 Se 0.851 0.851 0.182


no.,total magnetic moment (μB/atom),E_tot (eV/atom)
1,0.000,-13.59
2,0.000,-38.38
3,0.298,-28.67
4,0.000,-32.18